[1]
Density functional theory data (GGA-PBE) for an optimized crystal structure of ZrSc2Ge2.

Cell: 5.6983 5.6983 5.6983 Å, 128.91 128.91 75.15°
Fractional positions:
Ge 0.7500 0.2500 0.5000
Ge 0.2500 0.7500 0.5000
Zr 0.0000 0.0000 0.0000
Sc 0.3376 0.3376 0.0000
Sc 0.6624 0.6624 0.0000

Results
E   -6.152 eV per atom
Crystal system   tetragonal


[2]
Density functional theory data (GGA-PBE) for an optimized crystal structure of Zr2SiGeSe2.

Cell: 3.6741 3.6741 8.5164 Å, 90.00 90.00 90.00°
Fractional positions:
Se 0.5000 0.0000 0.3758
Se 0.0000 0.5000 0.6242
Si 0.5000 0.5000 0.0000
Ge 0.0000 0.0000 0.0000
Zr 0.5000 0.0000 0.7443
Zr 0.0000 0.5000 0.2557

Results
E   -6.736 eV per atom
Crystal system   tetragonal


[3]
Density functional theory data (GGA-PBE) for an optimized crystal structure of SmTlGeSe3.

Cell: 7.4696 7.4696 11.3305 Å, 90.00 90.00 144.88°
Fractional positions:
Tl 0.2406 0.7594 0.2500
Tl 0.7594 0.2406 0.7500
Ge 0.9652 0.0348 0.2500
Ge 0.0348 0.9652 0.7500
Se 0.1321 0.8679 0.5516
Se 0.8679 0.1321 0.4484
Se 0.8679 0.1321 0.0516
Se 0.4297 0.5703 0.7500
Se 0.5703 0.4297 0.2500
Se 0.1321 0.8679 0.9484
Sm 0.5000 0.5000 0.5000
Sm 0.5000 0.5000 0.0000

Results
E   -4.550 eV per atom
Crystal system   orthorhombic


[4]
Density functional theory data (GGA-PBE) for an optimized crystal structure of TmSnGeSe3.

Cell: 7.2571 7.2571 11.2995 Å, 90.00 90.00 148.33°
Fractional positions:
Tm 0.0000 0.0000 0.5000
Tm 0.0000 0.0000 0.0000
Se 0.3584 0.6416 0.9919
Se 0.0229 0.9771 0.7500
Se 0.3584 0.6416 0.5081
Se 0.6416 0.3584 0.4919
Se 0.6416 0.3584 0.0081
Se 0.9771 0.0229 0.2500
Ge 0.3642 0.6358 0.7500
Ge 0.6358 0.3642 0.2500
Sn 0.3141 0.6859 0.2500
Sn 0.6859 0.3141 0.7500

Results
E   -4.706 eV per atom
Crystal system   orthorhombic


[5]
Density functional theory data (GGA-PBE) for an optimized crystal structure of TbTlGeSe3.

Cell: 7.4921 7.4921 11.2322 Å, 90.00 90.00 145.62°
Fractional positions:
Se 0.1310 0.8690 0.4542
Se 0.4325 0.5675 0.2500
Se 0.8690 0.1310 0.9542
Se 0.8690 0.1310 0.5458
Se 0.5675 0.4325 0.7500
Se 0.1310 0.8690 0.0458
Tl 0.2380 0.7620 0.7500
Tl 0.7620 0.2380 0.2500
Tb 0.5000 0.5000 0.0000
Tb 0.5000 0.5000 0.5000
Ge 0.9614 0.0386 0.7500
Ge 0.0386 0.9614 0.2500

Results
E   -4.531 eV per atom
Crystal system   orthorhombic


[6]
Density functional theory data (GGA-PBE) for an optimized crystal structure of ZrGeTe2Se2.

Cell: 8.7144 8.7144 10.6039 Å, 90.00 90.00 154.08°
Fractional positions:
Zr 0.3442 0.6558 0.2718
Zr 0.6558 0.3442 0.7718
Te 0.3814 0.6186 0.9886
Te 0.1028 0.8972 0.9682
Te 0.6186 0.3814 0.4886
Te 0.8972 0.1028 0.4682
Se 0.9598 0.0402 0.2471
Se 0.0402 0.9598 0.7471
Se 0.7360 0.2640 0.1965
Se 0.2640 0.7360 0.6965
Ge 0.7733 0.2267 0.9669
Ge 0.2267 0.7733 0.4669

Results
Polymorph energy (0 for the lowest one)   2.2 meV/atom
Crystal system   orthorhombic


[7]
Density functional theory data (GGA-PBE) for an optimized crystal structure of ZrGeTe2Se2.

Cell: 8.4494 8.4494 11.0751 Å, 90.00 90.00 153.29°
Fractional positions:
Ge 0.2718 0.7282 0.9681
Ge 0.7282 0.2718 0.4681
Te 0.1180 0.8820 0.5024
Te 0.7808 0.2192 0.7008
Te 0.2192 0.7808 0.2008
Te 0.8820 0.1180 0.0024
Se 0.6019 0.3981 0.9413
Se 0.4650 0.5350 0.2498
Se 0.3981 0.6019 0.4413
Se 0.5350 0.4650 0.7498
Zr 0.1534 0.8466 0.7767
Zr 0.8466 0.1534 0.2767

Results
Polymorph energy (0 for the lowest one)   46.5 meV/atom
Crystal system   orthorhombic


[8]
Density functional theory data (GGA-PBE) for an optimized crystal structure of ZrGeTe2Se2.

Cell: 8.5092 8.5092 10.6019 Å, 90.00 90.00 153.50°
Fractional positions:
Se 0.3703 0.6297 0.9997
Se 0.6297 0.3703 0.4997
Se 0.2677 0.7323 0.6970
Se 0.7323 0.2677 0.1970
Te 0.0214 0.9786 0.7419
Te 0.1058 0.8942 0.9663
Te 0.8942 0.1058 0.4663
Te 0.9786 0.0214 0.2419
Ge 0.2259 0.7741 0.4686
Ge 0.7741 0.2259 0.9686
Zr 0.3426 0.6574 0.2656
Zr 0.6574 0.3426 0.7656

Results
Polymorph energy (0 for the lowest one)   0.0 meV/atom
Crystal system   orthorhombic


[9]
Density functional theory data (GGA-PBE) for an optimized crystal structure of Th3GeSe2.

Cell: 7.3718 7.3718 7.3108 Å, 99.67 99.67 119.93°
Fractional positions:
Se 0.8332 0.1668 0.5000
Se 0.5000 0.5000 0.5000
Se 0.0000 0.0000 0.0000
Se 0.1668 0.8332 0.5000
Th 0.7444 0.7444 0.2447
Th 0.4191 0.0818 0.2454
Th 0.0818 0.4191 0.2454
Th 0.2556 0.2556 0.7553
Th 0.9182 0.5809 0.7546
Th 0.5809 0.9182 0.7546
Ge 0.3333 0.6667 0.0000
Ge 0.6667 0.3333 0.0000

Results
E   -6.983 eV per atom
Crystal system   monoclinic


[10]
Density functional theory data (GGA-PBE) for an optimized crystal structure of TmTlGeSe3.

Cell: 15.2584 4.0059 11.6445 Å, 90.00 90.00 90.00°
Fractional positions:
Se 0.9153 0.2500 0.7257
Se 0.1325 0.7500 0.6659
Se 0.5847 0.7500 0.2257
Se 0.4153 0.2500 0.7743
Se 0.8940 0.7500 0.0375
Se 0.0847 0.7500 0.2743
Se 0.3940 0.7500 0.4625
Se 0.6060 0.2500 0.5375
Se 0.1060 0.2500 0.9625
Se 0.8675 0.2500 0.3341
Se 0.6325 0.7500 0.8341
Se 0.3675 0.2500 0.1659
Tm 0.9916 0.2500 0.1516
Tm 0.5084 0.7500 0.6516
Tm 0.4916 0.2500 0.3484
Tm 0.0084 0.7500 0.8484
Ge 0.5388 0.2500 0.9164
Ge 0.4612 0.7500 0.0836
Ge 0.0388 0.2500 0.5836
Ge 0.9612 0.7500 0.4164
Tl 0.7681 0.7500 0.5749
Tl 0.2681 0.7500 0.9251
Tl 0.2319 0.2500 0.4251
Tl 0.7319 0.2500 0.0749

Results
Polymorph energy (0 for the lowest one)   0.0 meV/atom
Crystal system   orthorhombic


[11]
Density functional theory data (GGA-PBE) for an optimized crystal structure of TmTlGeSe3.

Cell: 8.0637 8.0637 11.2649 Å, 90.00 90.00 151.04°
Fractional positions:
Se 0.6257 0.3743 0.5004
Se 0.3743 0.6257 0.0004
Se 0.0087 0.9913 0.7500
Se 0.3743 0.6257 0.4996
Se 0.6257 0.3743 0.9996
Se 0.9913 0.0087 0.2500
Tm 0.0000 0.0000 0.0000
Tm 0.0000 0.0000 0.5000
Tl 0.2884 0.7116 0.7500
Tl 0.7116 0.2884 0.2500
Ge 0.3832 0.6168 0.2500
Ge 0.6168 0.3832 0.7500

Results
Polymorph energy (0 for the lowest one)   116.0 meV/atom
Crystal system   orthorhombic


[12]
Density functional theory data (GGA-PBE) for an optimized crystal structure of ZrTlGeSe3.

Cell: 7.7617 7.7617 11.3721 Å, 90.00 90.00 152.19°
Fractional positions:
Se 0.3719 0.6281 0.0092
Se 0.6281 0.3719 0.5092
Se 0.9855 0.0145 0.7500
Se 0.0145 0.9855 0.2500
Se 0.6281 0.3719 0.9908
Se 0.3719 0.6281 0.4908
Ge 0.6145 0.3855 0.7500
Ge 0.3855 0.6145 0.2500
Zr 0.0000 0.0000 0.5000
Zr 0.0000 0.0000 0.0000
Tl 0.7072 0.2928 0.2500
Tl 0.2928 0.7072 0.7500

Results
E   -4.997 eV per atom
Crystal system   orthorhombic


[13]
Density functional theory data (GGA-PBE) for an optimized crystal structure of Tm3GeSe2.

Cell: 7.0258 7.0258 7.0258 Å, 146.29 132.07 59.88°
Fractional positions:
Se 0.3309 0.3309 0.0000
Se 0.6691 0.6691 0.0000
Tm 0.1580 0.6580 0.5000
Tm 0.8420 0.3420 0.5000
Tm 0.5000 0.0000 0.5000
Ge 0.0000 0.0000 0.0000

Results
E   -5.682 eV per atom
Crystal system   orthorhombic


[14]
Density functional theory data (GGA-PBE) for an optimized crystal structure of UGeSe.

Cell: 8.7409 8.7409 8.7409 Å, 153.88 153.88 37.28°
Fractional positions:
Se 0.8173 0.8173 0.0000
Se 0.1827 0.1827 0.0000
Ge 0.0000 0.5000 0.5000
Ge 0.5000 0.0000 0.5000
U 0.3633 0.3633 0.0000
U 0.6367 0.6367 0.0000

Results
E   -7.266 eV per atom
Crystal system   tetragonal


[15]
Density functional theory data (GGA-PBE) for an optimized crystal structure of Zn2GeSe3.

Cell: 3.7974 6.6761 10.8454 Å, 90.00 90.00 73.48°
Fractional positions:
Se 0.3706 0.2587 0.9283
Se 0.6293 0.7413 0.4283
Se 0.6293 0.7413 0.0717
Se 0.8878 0.2244 0.2500
Se 0.3706 0.2587 0.5717
Se 0.1122 0.7756 0.7500
Zn 0.4876 0.0247 0.7500
Zn 0.5123 0.9753 0.2500
Zn 0.0000 0.0000 0.5000
Zn 0.0000 0.0000 0.0000
Ge 0.7747 0.4507 0.7500
Ge 0.2253 0.5493 0.2500

Results
E   -3.228 eV per atom
Crystal system   orthorhombic


[16]
Density functional theory data (GGA-PBE) for an optimized crystal structure of Zn3GeSe4.

Cell: 7.1658 7.1658 7.1658 Å, 131.14 131.14 71.60°
Fractional positions:
Se 0.4012 0.8643 0.0000
Se 0.5988 0.5988 0.4631
Se 0.8643 0.4012 0.0000
Se 0.1357 0.1357 0.5369
Ge 0.0000 0.0000 0.0000
Zn 0.2500 0.7500 0.5000
Zn 0.5000 0.5000 0.0000
Zn 0.7500 0.2500 0.5000

Results
E   -3.292 eV per atom
Crystal system   tetragonal


[17]
Density functional theory data (GGA-PBE) for an optimized crystal structure of ZrGe2Se.

Cell: 3.8532 5.6833 7.2653 Å, 90.00 90.00 90.00°
Fractional positions:
Zr 0.5000 0.8703 0.5700
Zr 0.5000 0.1297 0.0700
Se 0.0000 0.4163 0.9081
Se 0.0000 0.5837 0.4081
Ge 0.0000 0.1216 0.3618
Ge 0.5000 0.6497 0.1601
Ge 0.5000 0.3503 0.6601
Ge 0.0000 0.8784 0.8618

Results
E   -5.751 eV per atom
Crystal system   orthorhombic


[18]
Density functional theory data (GGA-PBE) for an optimized crystal structure of ZrGe2Se.

Cell: 3.8376 5.7524 7.6443 Å, 90.00 90.00 90.00°
Fractional positions:
Se 0.5000 0.2573 0.6225
Se 0.0000 0.7427 0.1225
Ge 0.0000 0.6419 0.5718
Ge 0.5000 0.3581 0.0718
Ge 0.5000 0.8818 0.4492
Ge 0.0000 0.1182 0.9492
Zr 0.5000 0.7773 0.8565
Zr 0.0000 0.2227 0.3565

Results
E   -5.628 eV per atom
Crystal system   orthorhombic


[19]
Density functional theory data (GGA-PBE) for an optimized crystal structure of ZrGe4Se3.

Cell: 6.0167 3.5833 8.6438 Å, 90.00 105.50 90.00°
Fractional positions:
Ge 0.8478 0.5000 0.9063
Ge 0.4082 0.5000 0.5639
Ge 0.1079 0.0000 0.1235
Ge 0.6615 0.0000 0.4496
Zr 0.4567 0.0000 0.8293
Se 0.9875 0.0000 0.7144
Se 0.4803 0.5000 0.0721
Se 0.0501 0.5000 0.3410

Results
E   -4.887 eV per atom
Crystal system   monoclinic


[20]
Density functional theory data (GGA-PBE) for an optimized crystal structure of ZrGe2Se.

Cell: 4.9915 3.7984 9.4505 Å, 90.00 104.80 90.00°
Fractional positions:
Ge 0.8266 0.2500 0.9410
Ge 0.8201 0.2500 0.4970
Ge 0.1799 0.7500 0.5030
Ge 0.1734 0.7500 0.0590
Se 0.3008 0.7500 0.8212
Se 0.6992 0.2500 0.1788
Zr 0.7440 0.7500 0.7069
Zr 0.2560 0.2500 0.2931

Results
E   -5.623 eV per atom
Crystal system   monoclinic